No. 1
Here is a relaxed YGa2W crystal from OQMD. Energies are from PBE-GGA.

a b c (Å): 4.7347 4.7347 4.7347
angles (deg): 60.00 60.00 60.00
With the nearest neighbours (Å) after each atom.
Atoms (fractional coordinates):
1 Y 0.5000 0.5000 0.5000  4 W 2.90, 4 Ga 2.90
2 W 0.2500 0.2500 0.2500  4 Y 2.90, 4 Ga 2.90
3 Ga 0.0000 0.0000 0.0000  4 Ga 2.90, 4 W 2.90
4 Ga 0.7500 0.7500 0.7500  4 Ga 2.90, 4 Y 2.90



No. 2
Here is a relaxed ZnGa2W6 crystal from OQMD. Energies are from PBE-GGA.

a b c (Å): 7.7486 7.7486 2.7035
angles (deg): 90.00 90.00 120.00
With the nearest neighbours (Å) after each atom.
Atoms (fractional coordinates):
1 W 0.0000 0.6461 0.0000  8 W 2.70-2.94, 1 Zn 2.74, 4 Ga 2.85
2 W 0.6461 0.0000 0.0000  8 W 2.70-2.94, 1 Zn 2.74, 4 Ga 2.85
3 W 0.0000 0.3095 0.5000  2 Ga 2.68, 8 W 2.70-2.94, 2 Zn 2.75
4 W 0.3539 0.3539 0.0000  8 W 2.70-2.94, 1 Zn 2.74, 4 Ga 2.85
5 W 0.6905 0.6905 0.5000  2 Ga 2.68, 8 W 2.70-2.94, 2 Zn 2.75
6 W 0.3095 0.0000 0.5000  2 Ga 2.68, 8 W 2.70-2.94, 2 Zn 2.75
7 Ga 0.3333 0.6667 0.5000  9 W 2.68-2.85, 2 Ga 2.70
8 Ga 0.6667 0.3333 0.5000  9 W 2.68-2.85, 2 Ga 2.70
9 Zn 0.0000 0.0000 0.0000  2 Zn 2.70, 9 W 2.74-2.75



| no. | electronic total energy (eV per atom) |
| --- | --- |
| 1 | -5.90 |
| 2 | -9.24 |